Entry from the Alexandria database: Fe4Cl2O after structural relaxation (PBE with a Hubbard U).

## Properties
As for the crystal system: tetragonal.

```
Fe4Cl2O
1.0
-1.981 1.981 9.388
1.981 -1.981 9.388
1.981 1.981 -9.388
Fe Cl O
4 2 1
direct
0.000 0.500 0.500
0.235 0.235 0.000
0.500 0.000 0.500
0.765 0.765 0.000
0.094 0.094 0.000
0.906 0.906 0.000
0.500 0.500 0.000
```



Entry from the Alexandria database: FeCl2O after structural relaxation (PBE with a Hubbard U).

## Properties
As for the crystal system: tetragonal.

```
FeCl2O
1.0
-3.447 3.447 3.867
3.447 -3.447 3.867
3.447 3.447 -3.867
Fe Cl O
2 4 2
direct
0.000 0.000 0.000
0.750 0.250 0.500
0.064 0.625 0.939
0.375 0.314 0.439
0.686 0.125 0.061
0.875 0.936 0.561
0.250 0.750 0.500
0.500 0.500 0.000
```



Entry from the Alexandria database: FeClO2 after structural relaxation (PBE with a Hubbard U).

## Properties
As for the crystal system: tetragonal.

```
FeClO2
1.0
-2.733 2.733 4.386
2.733 -2.733 4.386
2.733 2.733 -4.386
Fe Cl O
2 2 4
direct
0.000 0.000 0.000
0.750 0.250 0.500
0.250 0.750 0.500
0.500 0.500 0.000
0.375 0.245 0.370
0.755 0.125 0.130
0.875 0.005 0.630
0.995 0.625 0.870
```



Entry from the Alexandria database: Fe2ClO after structural relaxation (PBE with a Hubbard U).

## Properties
As for the crystal system: tetragonal.

```
Fe2ClO
1.0
-2.539 2.539 5.569
2.539 -2.539 5.569
2.539 2.539 -5.569
Fe Cl O
4 2 2
direct
0.009 0.625 0.884
0.375 0.259 0.384
0.741 0.125 0.116
0.875 0.991 0.616
0.250 0.750 0.500
0.500 0.500 0.000
0.000 0.000 0.000
0.750 0.250 0.500
```



Entry from the Alexandria database: Fe3Cl3O after structural relaxation (PBE with a Hubbard U).

## Properties
As for the crystal system: monoclinic.

```
Fe3Cl3O
1.0
7.836 0.000 0.000
0.000 5.133 0.000
-2.513 0.000 7.726
Fe Cl O
6 6 2
direct
0.124 0.250 0.027
0.152 0.750 0.294
0.293 0.250 0.675
0.707 0.750 0.325
0.848 0.250 0.706
0.876 0.750 0.973
0.194 0.250 0.343
0.294 0.750 0.608
0.393 0.750 0.158
0.607 0.250 0.842
0.706 0.250 0.392
0.806 0.750 0.657
0.111 0.250 0.789
0.889 0.750 0.211
```



Entry from the Alexandria database: Fe2ClO3 after structural relaxation (PBE with a Hubbard U).

## Properties
As for the crystal system: trigonal.

```
Fe2ClO3
1.0
3.268 1.886 4.529
-3.268 1.886 4.529
0.000 -3.773 4.529
Fe Cl O
4 2 6
direct
0.000 0.000 0.000
0.000 0.000 0.500
0.000 0.500 0.000
0.500 0.000 0.000
0.288 0.288 0.288
0.712 0.712 0.712
0.168 0.777 0.777
0.223 0.223 0.832
0.223 0.832 0.223
0.777 0.168 0.777
0.777 0.777 0.168
0.832 0.223 0.223
```



Entry from the Alexandria database: FeClO2 after structural relaxation (PBE with a Hubbard U).

## Properties
As for the crystal system: cubic.

```
FeClO2
1.0
0.000 2.816 2.816
2.816 0.000 2.816
2.816 2.816 0.000
Fe Cl O
1 1 2
direct
0.000 0.000 0.000
0.500 0.500 0.500
0.250 0.250 0.250
0.750 0.750 0.750
```



Entry from the Alexandria database: Fe3ClO after structural relaxation (PBE with a Hubbard U).

## Properties
As for the crystal system: cubic.

```
Fe3ClO
1.0
4.312 0.000 0.000
0.000 4.312 0.000
0.000 0.000 4.312
Fe Cl O
3 1 1
direct
0.000 0.000 0.500
0.000 0.500 0.000
0.500 0.000 0.000
0.500 0.500 0.500
0.000 0.000 0.000
```



| no. | raw total energy (eV per formula unit) |
| --- | --- |
| 1 | -32.694 |
| 2 | -14.446 |
| 3 | -18.688 |
| 4 | -20.990 |
| 5 | -33.170 |
| 6 | -33.529 |
| 7 | -15.175 |
| 8 | -23.067 |